Entry 1:
K3TmCu2Cl9 | PBE | optimized geometry

Calculated values
raw formation energy	-1541.4	meV per atom
space group	P-3m1, No. 164
spin magnetization	1.1	μB per formula unit
theoretical density	3.13	g/cm³
volume	25.88	Å³ per atom

Structure (POSCAR):
```
K3TmCu2Cl9
1.0
7.1245 0.0000 0.0000
-3.5622 6.1700 0.0000
0.0000 0.0000 8.8319
K Tm Cu Cl
3 1 2 9
Cartesian
0.0000 0.0000 0.0000
0.0000 4.1133 6.1204
3.5622 2.0567 2.7115
0.0000 0.0000 4.4159
0.0000 4.1133 1.2429
3.5622 2.0567 7.5890
-1.7811 3.0850 0.0000
0.0000 2.0997 2.9048
-1.7439 5.1201 2.9048
1.8184 1.0498 5.9271
3.5622 0.0000 0.0000
1.7811 3.0850 0.0000
1.7438 5.1201 2.9048
5.3061 1.0498 5.9271
3.5622 4.0703 5.9271
```

***

Entry 2:
KTm2CuCl8 | PBE | optimized geometry

Calculated values
raw formation energy	-1888.7	meV per atom
space group	P-1, No. 2
spin magnetization	0.2	μB per formula unit
theoretical density	3.01	g/cm³
volume	33.27	Å³ per atom

Structure (POSCAR):
```
KTm2CuCl8
1.0
7.0881 0.0000 0.0000
3.3459 7.1636 0.0000
0.2833 1.2801 7.8626
K Tm Cu Cl
1 2 1 8
Cartesian
0.0000 0.0000 0.0000
1.8988 3.7378 2.0231
8.8185 4.7059 5.8395
0.1417 0.6401 3.9313
3.8386 6.3764 5.4824
2.5440 2.0901 0.0108
2.7329 2.7829 4.3493
4.1053 4.8561 1.7901
6.6120 3.5876 6.0725
7.9844 5.6608 3.5133
8.1733 6.3537 7.8518
6.8787 2.0673 2.3801
```

***

Entry 3:
KTmCuCl5 | PBE | optimized geometry

Calculated values
raw formation energy	-1743.7	meV per atom
space group	C2/c, No. 15
spin magnetization	0.1	μB per formula unit
theoretical density	3.24	g/cm³
volume	28.72	Å³ per atom

Structure (POSCAR):
```
KTmCuCl5
1.0
4.3287 -5.8575 0.0000
4.3287 5.8575 0.0000
-3.8347 0.0000 9.0624
K Tm Cu Cl
2 2 2 10
Cartesian
1.4527 4.0902 6.7968
3.3700 -4.0902 2.2656
4.3287 0.0000 0.0000
2.4113 0.0000 4.5312
3.3700 3.6283 2.2656
1.4527 -3.6283 6.7968
-1.9037 0.7773 8.3985
1.8964 2.3587 3.5366
0.0137 -0.7773 3.8673
4.8436 2.3587 0.9946
1.4527 0.9219 6.7968
3.3700 -0.9219 2.2656
-0.0209 -2.3587 8.0677
4.8090 0.7773 5.1951
2.9262 -2.3587 5.5258
6.7264 -0.7773 0.6639
```

***

Entry 4:
KUCuCl6 | PBE | optimized geometry

Calculated values
raw formation energy	-1471.5	meV per atom
space group	Imma, No. 74
spin magnetization	2.0	μB per formula unit
theoretical density	2.94	g/cm³
volume	34.77	Å³ per atom

Structure (POSCAR):
```
KUCuCl6
1.0
-3.8021 5.2660 7.8140
3.8021 -5.2660 7.8140
3.8021 5.2660 -7.8140
K U Cu Cl
2 2 2 12
Cartesian
0.0000 2.6330 0.3391
3.8021 2.6330 7.4749
3.8021 0.0000 0.0000
0.0000 0.0000 7.8140
1.9011 2.6330 -3.9070
1.9011 -2.6330 3.9070
3.8021 -2.6330 4.9049
1.9592 0.5308 1.7207
5.6451 0.5308 1.7207
3.8021 2.6330 -0.8679
1.9592 5.7967 -1.7207
1.8429 0.5308 6.0934
1.9592 4.7352 1.7207
1.8429 -0.5308 9.5347
0.0000 2.6330 8.6820
-1.8429 4.7352 6.0934
1.8429 4.7352 6.0934
0.0000 7.8990 2.9091
```

***

Entry 5:
K2UCuCl8 | PBE | optimized geometry

Calculated values
raw formation energy	-1560.6	meV per atom
space group	P-1, No. 2
spin magnetization	1.2	μB per formula unit
theoretical density	2.60	g/cm³
volume	35.28	Å³ per atom

Structure (POSCAR):
```
K2UCuCl8
1.0
6.5083 0.0000 0.0000
1.0941 6.4406 0.0000
0.0445 0.0078 10.1014
K U Cu Cl
2 1 1 8
Cartesian
0.5620 3.2043 2.7459
7.0849 3.2440 7.3555
3.2541 0.0000 0.0000
3.2764 0.0039 5.0507
1.3002 1.6034 10.0894
1.7958 1.5223 5.0606
3.2463 5.0748 1.8300
3.2981 5.0605 8.2837
4.3488 1.3878 1.8176
4.4005 1.3736 8.2714
5.8511 4.9261 5.0408
6.3467 4.8450 0.0119
```

***

Entry 6:
K3VCu2Cl9 | PBE | optimized geometry

Calculated values
raw formation energy	-1256.1	meV per atom
space group	P-3m1, No. 164
spin magnetization	2.6	μB per formula unit
theoretical density	2.83	g/cm³
volume	24.07	Å³ per atom

Structure (POSCAR):
```
K3VCu2Cl9
1.0
6.9707 0.0000 0.0000
-3.4854 6.0368 0.0000
0.0000 0.0000 8.5783
K V Cu Cl
3 1 2 9
Cartesian
0.0000 0.0000 0.0000
0.0000 4.0246 5.8097
3.4854 2.0123 2.7686
0.0000 0.0000 4.2892
0.0000 4.0246 1.2428
3.4854 2.0123 7.3355
-1.7427 3.0184 0.0000
0.0000 1.9599 2.9234
-1.7881 5.0569 2.9234
1.6973 0.9799 5.6549
3.4854 0.0000 0.0000
1.7427 3.0184 0.0000
1.7880 5.0569 2.9234
5.2734 0.9799 5.6549
3.4854 4.0769 5.6549
```

***

Entry 7:
KV2CuCl8 | PBE | optimized geometry

Calculated values
raw formation energy	-1160.4	meV per atom
space group	P-1, No. 2
spin magnetization	4.0	μB per formula unit
theoretical density	2.37	g/cm³
volume	28.55	Å³ per atom

Structure (POSCAR):
```
KV2CuCl8
1.0
6.9478 0.0000 0.0000
0.4859 7.3425 0.0000
3.1876 1.0050 6.7163
K V Cu Cl
1 2 1 8
Cartesian
0.0000 0.0000 0.0000
1.8268 2.3627 3.2798
8.7944 5.9847 3.4365
0.2429 3.6712 0.0000
3.8333 5.8195 4.9391
2.6514 4.2951 1.9694
2.4087 0.3175 2.0043
3.9089 2.2878 4.1741
6.7123 6.0596 2.5423
8.2125 8.0299 4.7120
7.9698 4.0524 4.7470
6.7880 2.5279 1.7772
```

***

Entry 8:
K2YCuCl6 | PBE | optimized geometry

Calculated values
raw formation energy	-1780.6	meV per atom
distance to the lowest polymorph of the same formula	0.0	meV per atom
space group	P2_1/c, No. 14
spin magnetization	0.1	μB per formula unit
theoretical density	2.51	g/cm³
volume	29.30	Å³ per atom

Structure (POSCAR):
```
K2YCuCl6
1.0
7.6428 0.0000 0.0000
0.0000 8.2861 0.0000
-7.6381 0.0000 9.2538
K Y Cu Cl
4 2 2 12
Cartesian
-0.1399 0.6908 2.3400
-3.9589 3.4522 6.9669
3.9636 4.8339 2.2869
0.1446 7.5953 6.9138
3.8214 0.0000 0.0000
0.0024 4.1431 4.6269
-3.8190 0.0000 4.6269
0.0000 4.1431 0.0000
-6.0302 1.3303 8.8033
-2.2111 2.8127 4.1764
-5.0502 6.0063 8.7965
-1.2312 6.4229 4.1696
-3.0792 0.2678 6.6453
0.7399 3.8753 2.0184
-0.7351 4.4108 7.2355
3.0839 8.0184 2.6086
1.2359 1.8632 5.0842
5.0549 2.2799 0.4573
2.2159 5.4734 5.0775
6.0349 6.9558 0.4506
```